Computed, not measured: a relaxed La2ErSi3Ir4 crystal at the PBE level of DFT.

Computed properties:
Energy relative to the elements, uncorrected in eV per formula unit: -9.71

Unit cell a=4.1839 b=4.1839 c=10.9629 alpha=90.00 beta=90.00 gamma=90.00
Closest atoms and distances in Å follow each position.
Space group P-4m2 (No. 115)
Asymmetric unit:
La: 0.0000 0.5000 0.2360 (multiplicity 2)  8 Ir 3.17-3.33, 4 Si 3.23
Er: 0.0000 0.0000 0.5000 (multiplicity 1)  4 Ir 2.73, 4 Si 2.96
Si: 0.0000 0.5000 0.8832 (multiplicity 2)  5 Ir 2.44-2.45
Si: 0.5000 0.5000 0.5000 (multiplicity 1)  4 Ir 2.73, 4 Er 2.96
Ir: 0.0000 0.0000 0.0000 (multiplicity 1)  4 Si 2.45
Ir: 0.0000 0.5000 0.6606 (multiplicity 2)  1 Si 2.44
Ir: 0.5000 0.5000 0.0000 (multiplicity 1)  4 Si 2.45

***

Computed, not measured: a relaxed La2ErSn3Ir4 crystal at the PBE level of DFT.

Computed properties:
E in eV/cell: -68.6

Unit cell a=4.4201 b=4.4201 c=11.6145 alpha=90.00 beta=90.00 gamma=90.00
Closest atoms and distances in Å follow each position.
Space group P-4m2 (No. 115)
Asymmetric unit:
La: 0.0000 0.5000 0.2366 (multiplicity 2)  6 Sn 3.38-3.77, 8 Ir 3.40-3.53, 2 Er 3.77
Er: 0.0000 0.0000 0.5000 (multiplicity 1)  4 Ir 2.79, 4 Sn 3.13
Sn: 0.0000 0.5000 0.8739 (multiplicity 2)  5 Ir 2.63-2.65
Sn: 0.5000 0.5000 0.5000 (multiplicity 1)  4 Ir 2.79, 4 Er 3.13
Ir: 0.0000 0.0000 0.0000 (multiplicity 1)  4 Sn 2.65
Ir: 0.0000 0.5000 0.6471 (multiplicity 2)  3 Sn 2.63-2.79, 2 Er 2.79
Ir: 0.5000 0.5000 0.0000 (multiplicity 1)  4 Sn 2.65

***

Computed, not measured: a relaxed LaErZnIr crystal at the PBE level of DFT.

Computed properties:
E in eV/cell: -87.2

Unit cell a=7.1293 b=7.1293 c=7.1293 alpha=90.00 beta=90.00 gamma=90.00
Closest atoms and distances in Å follow each position.
Space group F-43m (No. 216)
Asymmetric unit:
La: 0.0000 0.0000 0.0000 (multiplicity 4)  4 Ir 3.09, 4 Zn 3.09
Er: 0.0000 0.0000 0.5000 (multiplicity 4)  4 Ir 3.09, 4 Zn 3.09
Zn: 0.2500 0.2500 0.7500 (multiplicity 4)  4 La 3.09, 4 Er 3.09
Ir: 0.2500 0.2500 0.2500 (multiplicity 4)  4 La 3.09, 4 Er 3.09

***

Computed, not measured: a relaxed LiEr3Ir8 crystal at the PBE level of DFT.

Computed properties:
E in eV/cell: -283.1

Unit cell a=5.3018 b=5.3018 c=25.9915 alpha=90.00 beta=90.00 gamma=120.00
Closest atoms and distances in Å follow each position.
Space group R3m (No. 160, hexagonal axes)
Asymmetric unit:
Li: 0.0000 0.0000 0.0000 (multiplicity 3)  12 Ir 3.03-3.15, 4 Er 3.16-3.19
Er: 0.0000 0.0000 0.1217 (multiplicity 3)  12 Ir 3.03-3.26, 1 Li 3.16, 3 Er 3.31
Er: 0.0000 0.0000 0.5038 (multiplicity 3)  12 Ir 3.10-3.13, 4 Er 3.31-3.35
Er: 0.0000 0.0000 0.6325 (multiplicity 3)  12 Ir 3.01-3.17, 3 Li 3.19, 1 Er 3.35
Ir: 0.0000 0.0000 0.3159 (multiplicity 3)  6 Ir 2.64-2.65
Ir: 0.0000 0.0000 0.8156 (multiplicity 3)  6 Ir 2.66
Ir: 0.0009 0.5005 0.0655 (multiplicity 9)  6 Ir 2.64-2.66
Ir: 0.0006 0.5003 0.5658 (multiplicity 9)  6 Ir 2.65-2.66

***

Computed, not measured: a relaxed LiErIr4 crystal at the PBE level of DFT.

Computed properties:
E in eV/cell: -178.9

Unit cell a=7.4316 b=7.4316 c=7.4316 alpha=90.00 beta=90.00 gamma=90.00
Closest atoms and distances in Å follow each position.
Space group F-43m (No. 216)
Asymmetric unit:
Li: 0.0000 0.0000 0.0000 (multiplicity 4)  12 Ir 3.08, 4 Er 3.22
Er: 0.2500 0.2500 0.2500 (multiplicity 4)  12 Ir 3.08, 4 Li 3.22
Ir: 0.1254 0.1254 0.6254 (multiplicity 16)  6 Ir 2.62-2.63

***

Computed, not measured: a relaxed LiEr4Ir crystal at the PBE level of DFT.

Computed properties:
E in eV/cell: -117.8

Unit cell a=9.9349 b=9.9349 c=7.2765 alpha=90.00 beta=90.00 gamma=90.00
Closest atoms and distances in Å follow each position.
Space group I4_1md (No. 109)
Asymmetric unit:
Li: 0.0000 0.0000 0.0000 (multiplicity 4)  2 Er 2.70, 1 Ir 2.90
Er: 0.0000 0.2641 0.4345 (multiplicity 8)  2 Ir 2.64-2.81, 1 Li 2.70
Er: 0.0000 0.3099 0.9219 (multiplicity 8)  1 Ir 2.75, 1 Li 3.04
Ir: 0.0000 0.0000 0.3980 (multiplicity 4)  6 Er 2.64-2.81, 1 Li 2.90

***

Computed, not measured: a relaxed LiErLuIr crystal at the PBE level of DFT.

Computed properties:
E in eV/cell: -89.6

Unit cell a=6.8424 b=6.8424 c=6.8424 alpha=90.00 beta=90.00 gamma=90.00
Closest atoms and distances in Å follow each position.
Space group F-43m (No. 216)
Asymmetric unit:
Li: 0.0000 0.0000 0.0000 (multiplicity 4)  4 Er 2.96, 4 Lu 2.96
Er: 0.2500 0.2500 0.7500 (multiplicity 4)  4 Li 2.96, 4 Ir 2.96
Lu: 0.2500 0.2500 0.2500 (multiplicity 4)  4 Li 2.96, 4 Ir 2.96
Ir: 0.0000 0.0000 0.5000 (multiplicity 4)  4 Er 2.96, 4 Lu 2.96

***

Computed, not measured: a relaxed LiErMgIr crystal at the PBE level of DFT.

Computed properties:
E in eV/cell: -75.4

Unit cell a=6.6691 b=6.6691 c=6.6691 alpha=90.00 beta=90.00 gamma=90.00
Closest atoms and distances in Å follow each position.
Space group F-43m (No. 216)
Asymmetric unit:
Li: 0.0000 0.0000 0.0000 (multiplicity 4)  4 Er 2.89, 4 Mg 2.89
Er: 0.2500 0.2500 0.7500 (multiplicity 4)  4 Ir 2.89, 4 Li 2.89
Mg: 0.2500 0.2500 0.2500 (multiplicity 4)  4 Li 2.89, 4 Ir 2.89
Ir: 0.0000 0.0000 0.5000 (multiplicity 4)  4 Mg 2.89, 4 Er 2.89

***

Computed, not measured: a relaxed LiErNiIr crystal at the PBE level of DFT.

Computed properties:
E in eV/cell: -89.4

Unit cell a=6.2540 b=6.2540 c=6.2540 alpha=90.00 beta=90.00 gamma=90.00
Closest atoms and distances in Å follow each position.
Space group F-43m (No. 216)
Asymmetric unit:
Li: 0.0000 0.0000 0.0000 (multiplicity 4)  4 Er 2.71, 4 Ir 2.71
Er: 0.2500 0.2500 0.7500 (multiplicity 4)  4 Ni 2.71, 4 Li 2.71
Ni: 0.0000 0.0000 0.5000 (multiplicity 4)  4 Ir 2.71, 4 Er 2.71
Ir: 0.2500 0.2500 0.2500 (multiplicity 4)  4 Li 2.71, 4 Ni 2.71

***

Computed, not measured: a relaxed Li3Er3IrO8 crystal at the PBE level of DFT.

Computed properties:
Energy relative to the elements, uncorrected in eV per formula unit: -36.63

Unit cell a=6.5510 b=6.5510 c=14.9284 alpha=90.00 beta=90.00 gamma=120.00
Closest atoms and distances in Å follow each position.
Space group R-3m (No. 166, hexagonal axes)
Asymmetric unit:
Li: 0.0000 0.5000 0.0000 (multiplicity 9)  6 O 2.26-2.32
Er: 0.0000 0.5000 0.5000 (multiplicity 9)  6 O 2.21-2.28
Ir: 0.0000 0.0000 0.5000 (multiplicity 3)  6 O 2.08
O: 0.0000 0.0000 0.2438 (multiplicity 6)  3 Er 2.21, 3 Li 2.32
O: 0.0271 0.5136 0.2432 (multiplicity 18)  1 Ir 2.08, 2 Li 2.26, 2 Er 2.28

***

Computed, not measured: a relaxed LiEr2IrO5 crystal at the PBE level of DFT.

Computed properties:
Energy relative to the elements, uncorrected in eV per formula unit: -20.10

Unit cell a=3.9618 b=5.6305 c=10.8961 alpha=90.00 beta=90.00 gamma=90.00
Closest atoms and distances in Å follow each position.
Space group Immm (No. 71)
Asymmetric unit:
Li: 0.0000 0.0000 0.0000 (multiplicity 2)  10 O 2.82-2.98
Er: 0.0000 0.5000 0.2093 (multiplicity 4)  3 O 2.16-2.28
Ir: 0.0000 0.0000 0.5000 (multiplicity 2)  6 O 1.98-2.08
O: 0.0000 0.2301 0.3506 (multiplicity 8)  1 Ir 2.08, 1 Er 2.16
O: 0.0000 0.5000 0.0000 (multiplicity 2)  2 Ir 1.98

***

Computed, not measured: a relaxed LiErP2Ir5 crystal at the PBE level of DFT.

Computed properties:
E in eV/cell: -64.3

Unit cell a=4.0423 b=4.0423 c=9.4303 alpha=90.00 beta=90.00 gamma=90.00
Closest atoms and distances in Å follow each position.
Space group P4/mmm (No. 123)
Asymmetric unit:
Li: 0.0000 0.0000 0.0000 (multiplicity 1)  8 Ir 2.46
Er: 0.0000 0.0000 0.5000 (multiplicity 1)  4 Ir 2.86
P: 0.5000 0.5000 0.2599 (multiplicity 2)  5 Ir 2.26-2.28
Ir: 0.0000 0.5000 0.1480 (multiplicity 4)  2 P 2.28, 2 Li 2.46
Ir: 0.5000 0.5000 0.5000 (multiplicity 1)  2 P 2.26

***

| no. | total moment (μB/atom) | density of states at the Fermi level (states/eV/f.u.) |
| --- | --- | --- |
| 1 | 0.00 | 6.35 |
| 2 | 0.00 | 5.95 |
| 3 | 0.00 | 2.12 |
| 4 | 0.00 | 12.54 |
| 5 | 0.00 | 6.02 |
| 6 | 0.00 | 6.58 |
| 7 | 0.00 | 2.47 |
| 8 | 0.00 | 2.08 |
| 9 | 0.00 | 4.87 |
| 10 | 0.07 | 6.91 |
| 11 | 0.00 | 0.93 |
| 12 | 0.00 | 6.24 |